No. 1
Entry from Alexandria via LeMat-Bulk: an optimized crystal structure of NiMo2IrN (PBE). Values from VASP.

Structure (Quantum ESPRESSO input):
```
&SYSTEM
  ibrav = 0, nat = 5, ntyp = 4
/
ATOMIC_SPECIES
Ni 58.69 Ni.upf
Mo 95.94 Mo.upf
Ir 192.22 Ir.upf
N 14.01 N.upf
CELL_PARAMETERS angstrom
4.077 0.000 0.000
0.000 4.077 0.000
0.000 0.000 3.856
ATOMIC_POSITIONS crystal
Ni 0.000 0.000 0.000
Mo 0.000 0.500 0.500
Mo 0.500 0.000 0.500
Ir 0.500 0.500 0.000
N 0.000 0.000 0.500
```

Raw formation energy: -0.086 eV/atom
DFT total energy: -0.66235 Ry/atom


No. 2
Entry from Alexandria via LeMat-Bulk: an optimized crystal structure of ReMo2IrN (PBE). Values from VASP.

Structure (Quantum ESPRESSO input):
```
&SYSTEM
  ibrav = 0, nat = 5, ntyp = 4
/
ATOMIC_SPECIES
Re 186.21 Re.upf
Mo 95.94 Mo.upf
Ir 192.22 Ir.upf
N 14.01 N.upf
CELL_PARAMETERS angstrom
4.102 0.000 0.000
0.000 4.102 0.000
0.000 0.000 4.027
ATOMIC_POSITIONS crystal
Re 0.000 0.000 0.000
Mo 0.000 0.500 0.500
Mo 0.500 0.000 0.500
Ir 0.500 0.500 0.000
N 0.000 0.000 0.500
```

Raw formation energy: -0.095 eV/atom
DFT total energy: -0.76100 Ry/atom


Question: What is the raw formation energy in the first record?
Answer: -0.086 eV/atom


What did the first record say?
Entry from Alexandria via LeMat-Bulk: an optimized crystal structure of NiMo2IrN (PBE). Values from VASP.

Structure (Quantum ESPRESSO input):
```
&SYSTEM
  ibrav = 0, nat = 5, ntyp = 4
/
ATOMIC_SPECIES
Ni 58.69 Ni.upf
Mo 95.94 Mo.upf
Ir 192.22 Ir.upf
N 14.01 N.upf
CELL_PARAMETERS angstrom
4.077 0.000 0.000
0.000 4.077 0.000
0.000 0.000 3.856
ATOMIC_POSITIONS crystal
Ni 0.000 0.000 0.000
Mo 0.000 0.500 0.500
Mo 0.500 0.000 0.500
Ir 0.500 0.500 0.000
N 0.000 0.000 0.500
```

Raw formation energy: -0.086 eV/atom
DFT total energy: -0.66235 Ry/atom


Question: Among the records above, which one has the highest DFT total energy?
Answer: NiMo2IrN